(1)
Material: LiLaPCl2
Method: DFT, GGA-PBE
State: optimized geometry

```
5
Lattice="-4.4249 0.8707 0.3962 -0.8289 -4.4259 0.4684 0.5537 0.4469 5.2019" Properties=species:S:1:pos:R:3 pbc="T T T"
P 0.2769 0.2234 2.6010
Cl -0.4145 -2.2129 0.2342
La -2.3501 -1.5542 3.0333
Cl -2.2125 0.4353 0.1981
Li 0.0000 0.0000 0.0000
```

Properties
Calculated volume in Å³/cell: 107.6
Calculated density in Mg/m³: 3.823
Spin magnetization in μB/f.u.: 1.0
Polymorph energy (0 for the lowest one) in eV/atom: 0.000

(2)
Material: LiLaPCl2
Method: DFT, GGA-PBE
State: optimized geometry

```
5
Lattice="5.5772 0.0000 0.0000 0.0000 5.5772 0.0000 0.0000 0.0000 5.6023" Properties=species:S:1:pos:R:3 pbc="T T T"
P 0.0000 0.0000 2.8011
La 0.0000 0.0000 0.0000
Li 2.7886 2.7886 2.8011
Cl 0.0000 2.7886 0.0000
Cl 2.7886 0.0000 0.0000
```

Properties
Calculated volume in Å³/cell: 174.3
Calculated density in Mg/m³: 2.361
Spin magnetization in μB/f.u.: 0.7
Polymorph energy (0 for the lowest one) in eV/atom: 0.178

(3)
Material: Li2LaPbCl
Method: DFT, GGA-PBE
State: optimized geometry

```
5
Lattice="-4.3436 -1.9039 0.2983 1.9251 -4.3206 0.4553 0.1065 0.6444 5.6642" Properties=species:S:1:pos:R:3 pbc="T T T"
La 0.0532 0.3222 2.8321
Pb -1.1560 -2.7901 3.2089
Li -2.1718 -0.9520 0.1491
Cl 0.0000 0.0000 0.0000
Li 0.9625 -2.1603 0.2277
```

Properties
E_tot in eV for the cell shown: -18.52
Calculated volume in Å³/cell: 128.7
Calculated density in Mg/m³: 5.100
Spin magnetization in μB/f.u.: 0.0

(4)
Material: Li2LaPmCl8
Method: DFT, GGA-PBE
State: optimized geometry

```
12
Lattice="-1.0255 -6.1048 -2.8386 -1.0034 -1.3979 6.4406 -7.6665 3.9275 -0.5241" Properties=species:S:1:pos:R:3 pbc="T T T"
Cl -6.4158 -2.1118 -1.8751
Li -7.2121 0.2531 2.0405
Cl -4.6861 -3.6949 1.7367
Li -2.4833 -3.8282 1.0375
Cl -7.2248 0.6193 4.5067
La -3.8333 1.9637 -0.2620
Cl -8.7206 -1.5751 1.5033
Cl -2.4707 -4.1945 -1.4288
Cl -0.9749 -2.0001 1.5746
Pm 0.0000 0.0000 0.0000
Cl -5.0093 0.1197 1.3412
Cl -3.2797 -1.4634 4.9530
```

Properties
E_tot in eV for the cell shown: -53.70
Calculated volume in Å³/cell: 371.4
Calculated density in Mg/m³: 2.599
Spin magnetization in μB/f.u.: 0.0